Material: ZrTcBi2
Method: DFT, GGA-PBE
State: relaxed

Lattice parameters (Å, degrees): 5.001 5.001 5.001 60.00 60.00 60.00
Element x y z (fractional)
Zr 0.000 0.000 0.000
Tc 0.500 0.500 0.500
Bi 0.250 0.250 0.250
Bi 0.750 0.750 0.750

Results
Excess energy over the best structure of this formula in the dataset in eV per atom: 0.000
Uncorrected energy in eV for the cell shown: -25.65
Calculated formation energy in eV/atom: 0.257